<one>
This record from Alexandria via LeMat-Bulk describes a relaxed ZnInGaPd crystal. The functional is PBE.

```
data_ZnInGaPd
_chemical_formula_sum 'Zn2 In2 Ga2 Pd2'
_space_group_name_H-M_alt 'C 1 m 1'
_space_group_IT_number 8
_cell_length_a 4.391
_cell_length_b 4.381
_cell_length_c 8.055
_cell_angle_alpha 90.00
_cell_angle_beta 104.89
_cell_angle_gamma 90.00
loop_
_space_group_symop_operation_xyz
'x,y,z'
'x,-y,z'
'x+1/2,y+1/2,z'
'x+1/2,-y+1/2,z'
loop_
_atom_site_label
_atom_site_type_symbol
_atom_site_fract_x
_atom_site_fract_y
_atom_site_fract_z
Zn1 Zn 0.000 0.000 0.000
In1 In 0.376 0.000 0.739
Ga1 Ga 0.183 0.000 0.388
Pd1 Pd 0.096 0.500 0.201
```

Values from the calculation:
Magnetization = 0.0 μB/cell
Crystal system = monoclinic

=====

<two>
This record from Alexandria via LeMat-Bulk describes a relaxed ZnInGaPd crystal. The functional is PBE.

```
data_ZnInGaPd
_chemical_formula_sum 'Zn2 In2 Ga2 Pd2'
_space_group_name_H-M_alt 'I m m 2'
_space_group_IT_number 44
_cell_length_a 2.849
_cell_length_b 4.250
_cell_length_c 12.641
_cell_angle_alpha 90.00
_cell_angle_beta 90.00
_cell_angle_gamma 90.00
loop_
_space_group_symop_operation_xyz
'x,y,z'
'-x,-y,z'
'-x,y,z'
'x,-y,z'
'x+1/2,y+1/2,z+1/2'
'-x+1/2,-y+1/2,z+1/2'
'-x+1/2,y+1/2,z+1/2'
'x+1/2,-y+1/2,z+1/2'
loop_
_atom_site_label
_atom_site_type_symbol
_atom_site_fract_x
_atom_site_fract_y
_atom_site_fract_z
Zn1 Zn 0.000 0.000 0.000
In1 In 0.000 0.000 0.615
Ga1 Ga 0.000 0.500 0.825
Pd1 Pd 0.000 0.500 0.317
```

Values from the calculation:
Magnetization = 0.0 μB/cell
Crystal system = orthorhombic

=====

<three>
This record from Alexandria via LeMat-Bulk describes a relaxed ZnInGaPd crystal. The functional is PBE.

```
data_ZnInGaPd
_chemical_formula_sum 'Zn1 In1 Ga1 Pd1'
_space_group_name_H-M_alt 'P 1 m 1'
_space_group_IT_number 6
_cell_length_a 4.262
_cell_length_b 2.837
_cell_length_c 6.861
_cell_angle_alpha 90.00
_cell_angle_beta 107.92
_cell_angle_gamma 90.00
loop_
_space_group_symop_operation_xyz
'x,y,z'
'x,-y,z'
loop_
_atom_site_label
_atom_site_type_symbol
_atom_site_fract_x
_atom_site_fract_y
_atom_site_fract_z
Zn1 Zn 0.000 0.000 0.000
In1 In 0.612 0.500 0.225
Ga1 Ga 0.326 0.000 0.647
Pd1 Pd 0.828 0.500 0.653
```

Values from the calculation:
Magnetization = 0.0 μB/cell
Crystal system = monoclinic

=====

Calculated relative energies: <one> 0.000; <two> 0.007; <three> 0.031, given in eV/atom

=====

<one>
This record from Alexandria via LeMat-Bulk describes a relaxed ZnInGaPd crystal. The functional is PBE.

```
data_ZnInGaPd
_chemical_formula_sum 'Zn1 In1 Ga1 Pd1'
_space_group_name_H-M_alt 'P 1'
_space_group_IT_number 1
_cell_length_a 3.524
_cell_length_b 4.716
_cell_length_c 5.160
_cell_angle_alpha 74.00
_cell_angle_beta 71.49
_cell_angle_gamma 68.45
loop_
_space_group_symop_operation_xyz
'x,y,z'
loop_
_atom_site_label
_atom_site_type_symbol
_atom_site_fract_x
_atom_site_fract_y
_atom_site_fract_z
Zn1 Zn 0.000 0.000 0.000
In1 In 0.377 0.497 0.735
Ga1 Ga 0.260 0.113 0.394
Pd1 Pd 0.645 0.546 0.177
```

Values from the calculation:
Magnetization = 0.0 μB/cell
Crystal system = triclinic

=====

<two>
This record from Alexandria via LeMat-Bulk describes a relaxed ZnInGaPd crystal. The functional is PBE.

```
data_ZnInGaPd
_chemical_formula_sum 'Zn1 In1 Ga1 Pd1'
_space_group_name_H-M_alt 'P 1 m 1'
_space_group_IT_number 6
_cell_length_a 3.455
_cell_length_b 4.253
_cell_length_c 5.125
_cell_angle_alpha 90.00
_cell_angle_beta 104.80
_cell_angle_gamma 90.00
loop_
_space_group_symop_operation_xyz
'x,y,z'
'x,-y,z'
loop_
_atom_site_label
_atom_site_type_symbol
_atom_site_fract_x
_atom_site_fract_y
_atom_site_fract_z
Zn1 Zn 0.000 0.000 0.000
In1 In 0.309 0.000 0.532
Ga1 Ga 0.553 0.500 0.141
Pd1 Pd 0.855 0.500 0.696
```

Values from the calculation:
Magnetization = 0.0 μB/cell
Crystal system = monoclinic

=====

Calculated relative energies: <one> 0.000; <two> 0.027, given in eV/atom

=====

<one>
This record from Alexandria via LeMat-Bulk describes a relaxed ZnInGaPd crystal. The functional is PBE.

```
data_ZnInGaPd
_chemical_formula_sum 'Zn2 In2 Ga2 Pd2'
_space_group_name_H-M_alt 'C 1 m 1'
_space_group_IT_number 8
_cell_length_a 5.326
_cell_length_b 3.229
_cell_length_c 8.683
_cell_angle_alpha 90.00
_cell_angle_beta 103.13
_cell_angle_gamma 90.00
loop_
_space_group_symop_operation_xyz
'x,y,z'
'x,-y,z'
'x+1/2,y+1/2,z'
'x+1/2,-y+1/2,z'
loop_
_atom_site_label
_atom_site_type_symbol
_atom_site_fract_x
_atom_site_fract_y
_atom_site_fract_z
Zn1 Zn 0.000 0.000 0.000
In1 In 0.394 0.000 0.282
Ga1 Ga 0.067 0.500 0.759
Pd1 Pd 0.329 0.500 0.542
```

Values from the calculation:
Magnetization = 0.0 μB/cell
Crystal system = monoclinic

=====

<two>
This record from Alexandria via LeMat-Bulk describes a relaxed ZnInGaPd crystal. The functional is PBE.

```
data_ZnInGaPd
_chemical_formula_sum 'Zn1 In1 Ga1 Pd1'
_space_group_name_H-M_alt 'P 1'
_space_group_IT_number 1
_cell_length_a 3.603
_cell_length_b 4.385
_cell_length_c 5.460
_cell_angle_alpha 90.13
_cell_angle_beta 91.17
_cell_angle_gamma 113.86
loop_
_space_group_symop_operation_xyz
'x,y,z'
loop_
_atom_site_label
_atom_site_type_symbol
_atom_site_fract_x
_atom_site_fract_y
_atom_site_fract_z
Zn1 Zn 0.000 0.000 0.000
In1 In 0.303 0.601 0.297
Ga1 Ga 0.595 0.195 0.626
Pd1 Pd 0.296 0.595 0.797
```

Values from the calculation:
Magnetization = 0.0 μB/cell
Crystal system = triclinic

=====

Calculated relative energies: <one> 0.030; <two> 0.000, given in eV/atom

=====

<one>
This record from Alexandria via LeMat-Bulk describes a relaxed Pm2InGa crystal. The functional is PBE.

```
data_Pm2InGa
_chemical_formula_sum 'Pm2 In1 Ga1'
_space_group_name_H-M_alt 'P 4/m m m'
_space_group_IT_number 123
_space_group_name_Hall '-P 4 2'
_cell_length_a 3.732
_cell_length_b 3.732
_cell_length_c 7.650
_cell_angle_alpha 90.00
_cell_angle_beta 90.00
_cell_angle_gamma 90.00
loop_
_atom_site_label
_atom_site_type_symbol
_atom_site_fract_x
_atom_site_fract_y
_atom_site_fract_z
Pm1 Pm 0.000 0.000 0.236
In1 In 0.500 0.500 0.500
Ga1 Ga 0.500 0.500 0.000
```

Values from the calculation:
Magnetization = 0.0 μB/cell
Crystal system = tetragonal

=====

<two>
This record from Alexandria via LeMat-Bulk describes a relaxed Pm2InGa crystal. The functional is PBE.

```
data_Pm2InGa
_chemical_formula_sum 'Pm8 In4 Ga4'
_space_group_name_H-M_alt 'F m -3 m'
_space_group_IT_number 225
_space_group_name_Hall '-F 4 2 3'
_cell_length_a 7.530
_cell_length_b 7.530
_cell_length_c 7.530
_cell_angle_alpha 90.00
_cell_angle_beta 90.00
_cell_angle_gamma 90.00
loop_
_atom_site_label
_atom_site_type_symbol
_atom_site_fract_x
_atom_site_fract_y
_atom_site_fract_z
Pm1 Pm 0.250 0.250 0.250
In1 In 0.000 0.000 0.000
Ga1 Ga 0.000 0.000 0.500
```

Values from the calculation:
Magnetization = 0.0 μB/cell
Crystal system = cubic

=====

Calculated relative energies: <one> 0.000; <two> 0.019, given in eV/atom

=====

<one>
This record from Alexandria via LeMat-Bulk describes a relaxed Pm4InGa crystal. The functional is PBE.

```
data_Pm4InGa
_chemical_formula_sum 'Pm4 In1 Ga1'
_space_group_name_H-M_alt 'P 4/m m m'
_space_group_IT_number 123
_space_group_name_Hall '-P 4 2'
_cell_length_a 5.160
_cell_length_b 5.160
_cell_length_c 7.430
_cell_angle_alpha 90.00
_cell_angle_beta 90.00
_cell_angle_gamma 90.00
loop_
_atom_site_label
_atom_site_type_symbol
_atom_site_fract_x
_atom_site_fract_y
_atom_site_fract_z
Pm1 Pm 0.000 0.500 0.237
In1 In 0.000 0.000 0.500
Ga1 Ga 0.500 0.500 0.000
```

Values from the calculation:
Magnetization = 0.0 μB/cell
Crystal system = tetragonal

=====

<two>
This record from Alexandria via LeMat-Bulk describes a relaxed Pm4InGa crystal. The functional is PBE.

```
data_Pm4InGa
_chemical_formula_sum 'Pm8 In2 Ga2'
_space_group_name_H-M_alt 'P 1 21/m 1'
_space_group_IT_number 11
_cell_length_a 5.767
_cell_length_b 6.941
_cell_length_c 8.978
_cell_angle_alpha 90.00
_cell_angle_beta 98.90
_cell_angle_gamma 90.00
loop_
_space_group_symop_operation_xyz
'x,y,z'
'-x,-y,-z'
'-x,y+1/2,-z'
'x,-y+1/2,z'
loop_
_atom_site_label
_atom_site_type_symbol
_atom_site_fract_x
_atom_site_fract_y
_atom_site_fract_z
Pm1 Pm 0.166 0.250 0.052
Pm2 Pm 0.197 0.750 0.378
Pm3 Pm 0.331 0.515 0.742
In1 In 0.235 0.250 0.419
Ga1 Ga 0.343 0.750 0.048
```

Values from the calculation:
Magnetization = 0.0 μB/cell
Crystal system = monoclinic

=====

Calculated relative energies: <one> 0.186; <two> 0.000, given in eV/atom

=====

<one>
This record from Alexandria via LeMat-Bulk describes a relaxed PmIn2Ga crystal. The functional is PBE.

```
data_PmIn2Ga
_chemical_formula_sum 'Pm3 In6 Ga3'
_space_group_name_H-M_alt 'R -3 m'
_space_group_IT_number 166
_space_group_name_Hall '-R 3 2"'
_cell_length_a 4.6788
_cell_length_b 4.6788
_cell_length_c 16.4313
_cell_angle_alpha 90.00
_cell_angle_beta 90.00
_cell_angle_gamma 120.00
loop_
_atom_site_label
_atom_site_type_symbol
_atom_site_fract_x
_atom_site_fract_y
_atom_site_fract_z
Pm1 Pm 0.0000 0.0000 0.0000
In1 In 0.0000 0.0000 0.2274
Ga1 Ga 0.0000 0.0000 0.5000
```

Values from the calculation:
Magnetization = 0.0 μB/cell
Crystal system = trigonal

=====

<two>
This record from Alexandria via LeMat-Bulk describes a relaxed PmIn2Ga crystal. The functional is PBE.

```
data_PmIn2Ga
_chemical_formula_sum 'Pm1 In2 Ga1'
_space_group_name_H-M_alt 'P 4/m m m'
_space_group_IT_number 123
_space_group_name_Hall '-P 4 2'
_cell_length_a 4.524
_cell_length_b 4.524
_cell_length_c 4.739
_cell_angle_alpha 90.00
_cell_angle_beta 90.00
_cell_angle_gamma 90.00
loop_
_atom_site_label
_atom_site_type_symbol
_atom_site_fract_x
_atom_site_fract_y
_atom_site_fract_z
Pm1 Pm 0.000 0.000 0.000
In1 In 0.000 0.500 0.500
Ga1 Ga 0.500 0.500 0.000
```

Values from the calculation:
Magnetization = 0.0 μB/cell
Crystal system = tetragonal

=====

Calculated relative energies: <one> 0.222; <two> 0.000, given in eV/atom